(1)
11
Lattice="4.397 -0.002 -0.082 0.002 4.992 0.002 -0.356 -0.002 4.383" Properties=species:S:1:pos:R:3 comment="PBE Na2H7Ru2, relaxed" magnetic_moment_mub_per_cell=0.0 crystal_system=orthorhombic e_tot_ev_per_atom=-4.12 pbc="T T T"
Na 3.080 2.493 3.278
Na 0.964 2.495 1.025
H 4.219 1.000 2.110
H 1.845 3.987 4.344
H -0.176 3.988 2.193
H 2.199 1.002 -0.041
H 0.000 0.000 0.000
H 2.023 4.115 2.152
H 2.021 0.874 2.151
Ru 3.136 -0.002 1.103
Ru 0.907 4.990 3.201

---

(2)
5
Lattice="-1.410 4.429 0.864 0.277 -0.533 3.186 4.495 1.460 -0.146" Properties=species:S:1:pos:R:3 comment="PBE NaHRu2Se, relaxed" magnetic_moment_mub_per_cell=0.0 crystal_system=tetragonal e_tot_ev_per_atom=-3.76 pbc="T T T"
Ru 2.247 0.730 -0.073
Ru -0.705 2.215 0.432
H 0.139 -0.267 1.593
Se 1.681 2.678 1.952
Na 0.000 0.000 0.000

---

(3)
10
Lattice="6.236 0.000 0.000 0.000 5.288 0.000 0.000 -2.644 4.579" Properties=species:S:1:pos:R:3 comment="PBE NaSr2H6Ru, relaxed" magnetic_moment_mub_per_cell=1.0 crystal_system=trigonal e_tot_ev_per_atom=-3.83 pbc="T T T"
Na 3.118 0.000 0.000
Sr 1.056 0.000 3.053
Sr 5.180 2.644 1.526
H 5.230 0.000 1.411
H 5.230 -1.422 3.874
H 5.230 1.422 3.874
H 1.007 4.066 0.706
H 1.007 1.222 0.706
H 1.007 2.644 3.168
Ru 0.000 0.000 0.000

---

(4)
5
Lattice="-2.324 -2.567 -0.811 -0.274 -1.562 5.729 -2.687 2.277 0.492" Properties=species:S:1:pos:R:3 comment="PBE NaTcH2Ru, relaxed" magnetic_moment_mub_per_cell=2.5 crystal_system=tetragonal e_tot_ev_per_atom=-3.98 pbc="T T T"
Ru -2.642 -0.926 2.705
Tc -0.137 -0.781 2.864
H -1.344 1.138 0.246
H -1.162 -1.284 -0.405
Na 0.000 0.000 0.000

---

(5)
5
Lattice="5.459 0.000 0.000 0.000 4.713 0.000 0.000 0.000 5.459" Properties=species:S:1:pos:R:3 comment="PBE Na2ZnHRu, relaxed" magnetic_moment_mub_per_cell=1.8 crystal_system=tetragonal e_tot_ev_per_atom=-2.24 pbc="T T T"
Ru 0.000 2.357 0.000
Zn 0.000 0.000 0.000
H 2.729 2.357 2.729
Na 0.000 0.000 2.729
Na 2.729 0.000 0.000

---

(6)
12
Lattice="-3.056 -2.922 0.115 0.861 -4.421 2.388 -2.065 2.360 5.112" Properties=species:S:1:pos:R:3 comment="PBE NaZn2H8Ru, relaxed" magnetic_moment_mub_per_cell=0.0 crystal_system=triclinic e_tot_ev_per_atom=-3.25 pbc="T T T"
Na -1.033 1.180 2.556
Zn -2.615 -1.937 5.009
Zn -1.646 -3.046 2.606
H 0.076 -2.927 2.732
H -1.103 -5.940 2.305
H -3.066 -3.510 1.734
H -4.336 -2.056 4.883
H -3.158 0.956 5.310
H -1.194 -1.473 5.881
H -2.317 -3.580 4.234
H -1.943 -1.404 3.380
Ru 0.000 0.000 0.000

---

(7)
5
Lattice="3.185 0.000 0.000 1.592 2.758 0.000 1.592 0.919 8.452" Properties=species:S:1:pos:R:3 comment="PBE NaH2S2, relaxed" magnetic_moment_mub_per_cell=0.0 crystal_system=trigonal e_tot_ev_per_atom=-3.14 pbc="T T T"
Na 0.000 0.000 0.000
H 1.592 0.919 2.314
H 4.777 2.758 6.137
S 3.185 1.839 2.167
S 3.185 1.839 6.285

---

(8)
8
Lattice="3.654 0.000 0.000 0.000 4.593 -0.938 -1.827 -3.087 8.557" Properties=species:S:1:pos:R:3 comment="PBE Na3H4S, relaxed" magnetic_moment_mub_per_cell=0.0 crystal_system=monoclinic e_tot_ev_per_atom=-2.96 pbc="T T T"
Na 0.000 2.297 -0.469
Na 0.000 0.430 2.123
Na 1.827 1.075 5.496
H 0.000 -1.765 5.114
H 1.827 3.271 2.506
H 1.827 2.500 2.680
H 0.000 -0.995 4.939
S 1.827 0.000 0.000

---

(9)
8
Lattice="4.780 0.000 0.000 0.000 4.780 0.000 2.390 2.390 6.157" Properties=species:S:1:pos:R:3 comment="PBE NaHS2, relaxed" e_above_lowest_polymorph_mev_per_atom=0 magnetic_moment_mub_per_cell=0.0 crystal_system=tetragonal e_tot_ev_per_atom=-3.25 pbc="T T T"
Na 0.000 0.000 0.000
Na 4.780 2.390 3.079
S 2.457 1.195 1.539
S 2.322 3.585 1.539
S 3.585 4.712 4.618
S 5.975 4.847 4.618
H 2.390 2.390 0.000
H 2.390 4.780 3.079

---

(10)
4
Lattice="-3.470 -1.272 2.478 -1.982 2.915 2.716 -4.080 1.504 -0.946" Properties=species:S:1:pos:R:3 comment="PBE NaHS2, relaxed" e_above_lowest_polymorph_mev_per_atom=706 magnetic_moment_mub_per_cell=0.1 crystal_system=cubic e_tot_ev_per_atom=-2.55 pbc="T T T"
Na -4.766 1.574 2.124
S -2.383 0.787 1.062
S -7.149 2.361 3.186
H 0.000 0.000 0.000

---

(11)
4
Lattice="4.734 0.935 5.837 6.545 -0.786 3.729 6.302 2.458 3.405" Properties=species:S:1:pos:R:3 comment="PBE NaHS2, relaxed" e_above_lowest_polymorph_mev_per_atom=122 magnetic_moment_mub_per_cell=0.0 crystal_system=trigonal e_tot_ev_per_atom=-3.13 pbc="T T T"
Na 8.791 1.303 6.485
S 16.283 2.414 12.013
S 1.298 0.192 0.958
H 0.000 0.000 0.000

---

(12)
9
Lattice="4.581 0.000 2.645 1.527 4.319 2.645 0.000 0.000 5.290" Properties=species:S:1:pos:R:3 comment="PBE Na2H6S, relaxed" magnetic_moment_mub_per_cell=0.0 crystal_system=cubic e_tot_ev_per_atom=-2.68 pbc="T T T"
Na 4.581 3.239 7.935
Na 1.527 1.080 2.645
S 0.000 0.000 0.000
H 2.184 3.390 3.783
H 3.924 0.929 3.783
H 2.184 3.390 6.797
H 3.924 0.929 6.797
H 4.794 3.390 5.290
H 1.314 0.929 5.290

---

(13)
80
Lattice="12.865 0.000 0.000 -4.288 12.129 0.000 -4.288 -6.065 10.504" Properties=species:S:1:pos:R:3 comment="PBE Na12H5S3, relaxed" magnetic_moment_mub_per_cell=3.6 crystal_system=cubic e_tot_ev_per_atom=-2.74 pbc="T T T"
S 7.505 3.790 1.313
S 7.505 8.339 1.313
S -1.072 5.307 6.565
S 1.072 -0.758 3.939
S 9.649 0.000 2.626
S 1.072 6.065 2.626
S 3.216 0.000 7.878
S -5.360 6.065 7.878
S 3.216 6.823 6.565
S 5.360 0.758 3.939
S -3.216 -2.274 9.191
S -3.216 2.274 9.191
H -1.072 3.032 2.626
H -2.144 6.065 0.000
H 0.000 0.000 0.000
H 3.216 2.274 1.313
H 4.288 -3.032 5.252
H 4.288 6.065 0.000
H -3.216 6.823 3.939
H 5.360 -3.790 9.191
H 5.360 5.307 3.939
H 1.072 -3.032 7.878
H 3.216 9.097 2.626
H 2.144 3.032 5.252
H 6.433 0.000 0.000
H -2.144 -3.032 5.252
H -1.072 0.758 6.565
H -1.072 9.855 1.313
H -4.288 3.032 5.252
H 7.505 -0.758 6.565
H 1.072 3.790 9.191
H 5.360 3.032 7.878
Na 8.504 1.350 0.344
Na 0.072 4.005 4.255
Na 9.623 2.784 2.999
Na 5.386 1.828 1.341
Na 1.562 4.532 7.162
Na 9.113 6.114 1.910
Na -1.046 7.021 4.340
Na -3.242 10.302 1.341
Na 0.583 7.597 7.162
Na 5.896 6.015 1.910
Na 6.505 3.410 3.911
Na 6.505 10.779 0.344
Na -3.706 5.436 5.596
Na 2.680 4.386 0.912
Na -4.361 8.720 3.911
Na 2.216 -2.059 6.250
Na -0.583 0.904 2.253
Na 2.680 7.694 0.998
Na 5.386 9.345 2.999
Na -0.536 4.436 0.998
Na -2.727 6.969 8.251
Na 3.191 5.108 4.340
Na 5.850 6.693 5.596
Na 4.825 -1.679 9.592
Na 1.098 0.957 6.164
Na -1.562 -0.629 4.908
Na -0.536 7.743 0.912
Na -1.098 -3.280 7.506
Na 7.015 -0.904 2.253
Na 4.825 1.629 9.507
Na 1.608 -1.629 9.507
Na 2.072 8.124 4.255
Na 4.871 5.161 8.251
Na 8.649 -2.655 6.594
Na 7.994 0.629 4.908
Na -2.216 -4.714 10.160
Na 1.608 1.679 9.592
Na 3.706 -1.533 3.343
Na -1.608 0.049 8.595
Na -2.216 2.655 6.594
Na 7.530 -4.237 9.163
Na 5.335 -0.957 6.164
Na -1.098 4.237 9.163
Na -4.825 -0.049 8.595
Na 2.727 1.533 3.343
Na -5.335 3.280 7.506
Na 4.216 2.059 6.250
Na -4.216 4.714 10.160

---

(14)
8
Lattice="-5.849 -2.076 -3.661 4.208 -2.815 -5.127 -0.804 -4.660 -3.164" Properties=species:S:1:pos:R:3 comment="PBE Na2HS, relaxed" e_above_lowest_polymorph_mev_per_atom=163 magnetic_moment_mub_per_cell=0.0 crystal_system=tetragonal e_tot_ev_per_atom=-2.77 pbc="T T T"
Na -2.879 -2.654 -3.437
Na 1.246 -3.344 -4.736
Na -0.893 -5.547 -6.065
Na -2.363 -7.558 -9.667
S 0.000 0.000 0.000
S -3.736 -4.591 -5.610
H -0.820 -2.446 -4.394
H 1.292 -4.960 -6.343

---

(15)
12
Lattice="5.696 -0.128 1.017 -0.207 5.603 7.415 -0.347 1.193 11.324" Properties=species:S:1:pos:R:3 comment="PBE NaHS4, relaxed" magnetic_moment_mub_per_cell=0.0 crystal_system=triclinic e_tot_ev_per_atom=-3.82 pbc="T T T"
Na 4.310 1.787 3.388
Na 0.832 4.881 16.369
H 1.033 2.248 11.221
H 4.108 4.420 8.536
S 1.492 1.473 6.987
S 1.194 3.291 13.882
S 5.086 4.996 9.281
S 3.435 1.811 7.082
S 3.650 5.195 12.770
S 3.947 3.377 5.875
S 0.056 1.672 10.476
S 1.706 4.857 12.675

---

(16)
11
Lattice="3.580 -0.001 0.002 0.001 4.285 -0.141 1.777 1.883 14.489" Properties=species:S:1:pos:R:3 comment="PBE Na3H4S4, relaxed" magnetic_moment_mub_per_cell=0.0 crystal_system=triclinic e_tot_ev_per_atom=-3.57 pbc="T T T"
Na 1.776 4.710 9.977
Na 3.579 1.470 4.366
Na 3.582 4.223 -0.118
H 3.571 2.079 12.106
H 1.786 3.646 6.456
H 3.568 2.535 7.880
H 1.789 4.109 2.278
S 3.569 5.096 12.440
S 1.790 1.071 1.891
S 1.789 3.631 5.106
S 3.566 2.548 9.230

---

(17)
4
Lattice="-4.099 -2.168 -0.029 -2.948 0.568 3.534 -3.903 2.429 -0.604" Properties=species:S:1:pos:R:3 comment="PBE Na2HS, relaxed" e_above_lowest_polymorph_mev_per_atom=89 magnetic_moment_mub_per_cell=1.0 crystal_system=cubic e_tot_ev_per_atom=-2.84 pbc="T T T"
Na -2.738 0.207 0.725
Na -8.213 0.622 2.176
S -5.475 0.415 1.450
H 0.000 0.000 0.000

---

(18)
8
Lattice="3.896 0.000 0.000 -1.948 6.634 0.000 0.000 0.000 7.393" Properties=species:S:1:pos:R:3 comment="PBE Na2HS, relaxed" e_above_lowest_polymorph_mev_per_atom=0 magnetic_moment_mub_per_cell=0.0 crystal_system=orthorhombic e_tot_ev_per_atom=-2.93 pbc="T T T"
Na 0.000 4.959 7.306
Na 1.948 1.674 0.088
Na 1.948 1.674 3.609
Na 0.000 4.959 3.784
H 0.000 0.822 5.545
H 1.948 5.812 1.848
S 1.948 6.075 5.545
S 0.000 0.558 1.848

---

(19)
4
Lattice="4.832 0.000 0.000 2.416 4.185 0.000 2.416 1.395 3.946" Properties=species:S:1:pos:R:3 comment="PBE NaSrHS, relaxed" magnetic_moment_mub_per_cell=0.0 crystal_system=cubic e_tot_ev_per_atom=-3.61 pbc="T T T"
Sr 4.832 2.790 1.973
S 7.249 4.185 2.959
H 2.416 1.395 0.986
Na 0.000 0.000 0.000

---

(20)
5
Lattice="-1.444 -2.673 5.097 4.027 0.790 1.555 -1.864 5.189 2.194" Properties=species:S:1:pos:R:3 comment="PBE Na2VHS, relaxed" e_above_lowest_polymorph_mev_per_atom=435 magnetic_moment_mub_per_cell=3.9 crystal_system=tetragonal e_tot_ev_per_atom=-3.47 pbc="T T T"
Na -0.932 2.595 1.097
Na -0.722 -1.337 2.549
S 2.014 0.395 0.777
H 0.359 1.653 4.423
V 0.000 0.000 0.000